1.
# SrCa2Al9, optimized geometry, DFT PBE
data_SrCa2Al9
_space_group_name_H-M_alt 'R -3 m'
_space_group_IT_number 166
_space_group_name_Hall '-R 3 2"'
_cell_length_a 5.7075
_cell_length_b 5.7075
_cell_length_c 26.9152
_cell_angle_alpha 90.00
_cell_angle_beta 90.00
_cell_angle_gamma 120.00
loop_
_atom_site_label
_atom_site_type_symbol
_atom_site_fract_x
_atom_site_fract_y
_atom_site_fract_z
_atom_site_occupancy
Sr1 Sr 0.0000 0.0000 0.0000 1
Ca1 Ca 0.0000 0.0000 0.1424 1
Al1 Al 0.0000 0.0000 0.3355 1
Al2 Al 0.0000 0.0000 0.5000 1
Al3 Al 0.0064 0.5032 0.9170 1
# E_form = -0.24 eV/atom
# D(E_F) = 20.740 states/eV per cell
# Raw total energy = -126.7 eV/cell



2.
# PmLuThAl, optimized geometry, DFT PBE
data_PmLuThAl
_space_group_name_H-M_alt 'F -4 3 m'
_space_group_IT_number 216
_space_group_name_Hall 'F -4 2 3'
_cell_length_a 7.636
_cell_length_b 7.636
_cell_length_c 7.636
_cell_angle_alpha 90.00
_cell_angle_beta 90.00
_cell_angle_gamma 90.00
loop_
_atom_site_label
_atom_site_type_symbol
_atom_site_fract_x
_atom_site_fract_y
_atom_site_fract_z
_atom_site_occupancy
Pm1 Pm 0.000 0.000 0.000 1
Lu1 Lu 0.250 0.250 0.250 1
Th1 Th 0.000 0.000 0.500 1
Al1 Al 0.250 0.250 0.750 1
# E_form = -0.03 eV/atom
# D(E_F) = 19.728 states/eV per cell
# Raw total energy = -82.2 eV/cell



3.
# PrDyY2Se6, optimized geometry, DFT PBE
data_PrDyY2Se6
_space_group_name_H-M_alt 'R 3'
_space_group_IT_number 146
_space_group_name_Hall 'R 3'
_cell_length_a 7.2995
_cell_length_b 7.2995
_cell_length_c 19.5489
_cell_angle_alpha 90.00
_cell_angle_beta 90.00
_cell_angle_gamma 120.00
loop_
_atom_site_label
_atom_site_type_symbol
_atom_site_fract_x
_atom_site_fract_y
_atom_site_fract_z
_atom_site_occupancy
Pr1 Pr 0.0000 0.0000 0.0000 1
Dy1 Dy 0.0000 0.0000 0.4943 1
Y1 Y 0.0000 0.0000 0.2965 1
Y2 Y 0.0000 0.0000 0.8002 1
Se1 Se 0.0023 0.3090 0.8946 1
Se2 Se 0.0200 0.7128 0.3953 1
# D(E_F) = 0.000 states/eV per cell
# Raw total energy = -185.2 eV/cell